RbLaP3: optimized geometry, PBE.

Cell and atoms, written as POSCAR:
```
RbLaP3
1.0
5.597 0.000 0.000
0.000 5.597 0.000
0.000 0.000 5.597
Rb La P
1 1 3
direct
0.000 0.000 0.000 Rb
0.500 0.500 0.500 La
0.000 0.500 0.500 P
0.500 0.000 0.500 P
0.500 0.500 0.000 P
```

Summary:
**ΔH_f (0 K)**: 0.236 eV per atom
**Polymorph energy (0 for the lowest one)**: 0.000 eV/atom
**Volume**: 175.3 Å³/cell

RbLaP2: optimized geometry, PBE.

Cell and atoms, written as POSCAR:
```
RbLaP2
1.0
0.000 3.751 3.751
3.751 0.000 3.751
3.751 3.751 0.000
Rb La P
1 1 2
direct
0.000 0.000 0.000 Rb
0.500 0.500 0.500 La
0.250 0.250 0.250 P
0.750 0.750 0.750 P
```

Summary:
**ΔH_f (0 K)**: -0.294 eV per atom
**Polymorph energy (0 for the lowest one)**: 0.006 eV/atom
**Volume**: 105.5 Å³/cell

RbLaPS2: optimized geometry, PBE.

Cell and atoms, written as POSCAR:
```
RbLaPS2
1.0
5.338 0.000 0.000
0.000 5.338 0.000
0.000 0.000 5.164
Rb La P S
1 1 1 2
direct
0.000 0.000 0.000 Rb
0.500 0.500 0.500 La
0.000 0.000 0.500 P
0.000 0.500 0.000 S
0.500 0.000 0.000 S
```

Summary:
**Polymorph energy (0 for the lowest one)**: 1.010 eV/atom
**Energy relative to the elements, uncorrected**: 0.40 eV/atom
**Volume**: 147.2 Å³/cell